# 1
Density functional theory data (PBE) for Dy2NpAs3 after structural relaxation.

a b c (Å): 9.176 9.176 9.176
angles (deg): 154.09 154.09 36.97
Positions (direct):
Dy 0.168 0.168 0.000
Dy 0.832 0.832 0.000
Np 0.500 0.500 0.000
As 0.000 0.000 0.000
As 0.334 0.334 0.000
As 0.666 0.666 0.000

Calculated values
SG = I4/mmm



# 2
Density functional theory data (PBE) for Dy3NpAs4 after structural relaxation.

a b c (Å): 7.123 7.123 4.107
angles (deg): 90.00 90.00 109.31
Positions (direct):
Dy 0.000 0.000 0.000
Dy 0.000 0.500 0.500
Dy 0.500 0.000 0.500
Np 0.500 0.500 0.000
As 0.252 0.252 0.500
As 0.252 0.748 0.000
As 0.748 0.252 0.000
As 0.748 0.748 0.500

Calculated values
SG = Cmmm



# 3
Density functional theory data (PBE) for Dy4NpAs5 after structural relaxation.

a b c (Å): 10.897 10.897 10.897
angles (deg): 158.26 149.07 38.13
Positions (direct):
Dy 0.101 0.101 0.000
Dy 0.299 0.299 0.000
Dy 0.701 0.701 0.000
Dy 0.899 0.899 0.000
Np 0.500 0.500 0.000
As 0.000 0.500 0.500
As 0.200 0.700 0.500
As 0.401 0.901 0.500
As 0.599 0.099 0.500
As 0.800 0.300 0.500

Calculated values
SG = Immm



# 4
Density functional theory data (PBE) for PmDy2NpAs4 after structural relaxation.

a b c (Å): 7.173 4.139 7.182
angles (deg): 90.00 109.34 90.00
Positions (direct):
Pm 0.000 0.000 0.000
Dy 0.500 0.000 0.500
Dy 0.500 0.500 0.000
Np 0.000 0.500 0.500
As 0.251 0.000 0.746
As 0.253 0.500 0.257
As 0.747 0.500 0.743
As 0.749 0.000 0.254

Calculated values
SG = P2/m



# 5
Density functional theory data (PBE) for PmDyNp2As4 after structural relaxation.

a b c (Å): 7.177 4.119 7.181
angles (deg): 90.00 109.25 90.00
Positions (direct):
Pm 0.000 0.000 0.000
Dy 0.500 0.500 0.000
Np 0.000 0.500 0.500
Np 0.500 0.000 0.500
As 0.252 0.000 0.745
As 0.256 0.500 0.258
As 0.744 0.500 0.742
As 0.748 0.000 0.255

Calculated values
SG = P2/m



# 6
Density functional theory data (PBE) for PrDyNp2As4 after structural relaxation.

a b c (Å): 7.211 4.137 7.211
angles (deg): 90.00 109.24 90.00
Positions (direct):
Pr 0.000 0.000 0.000
Dy 0.500 0.500 0.000
Np 0.000 0.500 0.500
Np 0.500 0.000 0.500
As 0.254 0.000 0.744
As 0.259 0.500 0.261
As 0.741 0.500 0.739
As 0.746 0.000 0.256

Calculated values
SG = P2/m



# 7
Density functional theory data (PBE) for Pr2DyNpAs4 after structural relaxation.

a b c (Å): 7.279 4.203 7.292
angles (deg): 90.00 109.30 90.00
Positions (direct):
Pr 0.000 0.000 0.000
Pr 0.500 0.500 0.000
Dy 0.000 0.500 0.500
Np 0.500 0.000 0.500
As 0.248 0.000 0.736
As 0.256 0.500 0.264
As 0.744 0.500 0.736
As 0.752 0.000 0.264

Calculated values
SG = P2/m



# 8
Density functional theory data (PBE) for DyPu2NpAs4 after structural relaxation.

a b c (Å): 7.126 4.123 7.153
angles (deg): 90.00 109.37 90.00
Positions (direct):
Dy 0.000 0.000 0.000
Pu 0.500 0.000 0.500
Pu 0.500 0.500 0.000
Np 0.000 0.500 0.500
As 0.249 0.000 0.749
As 0.250 0.500 0.252
As 0.750 0.500 0.748
As 0.751 0.000 0.251

Calculated values
SG = P2/m



# 9
Density functional theory data (PBE) for DyPuNp2As4 after structural relaxation.

a b c (Å): 7.095 4.105 7.165
angles (deg): 90.00 109.36 90.00
Positions (direct):
Dy 0.000 0.000 0.000
Pu 0.500 0.500 0.000
Np 0.000 0.500 0.500
Np 0.500 0.000 0.500
As 0.248 0.000 0.747
As 0.250 0.500 0.254
As 0.750 0.500 0.746
As 0.752 0.000 0.253

Calculated values
SG = P2/m



# 10
Density functional theory data (PBE) for Dy2Pu3NpAs6 after structural relaxation.

a b c (Å): 9.207 9.207 8.249
angles (deg): 102.67 102.67 25.91
Positions (direct):
Dy 0.168 0.168 0.336
Dy 0.832 0.832 0.664
Pu 0.167 0.167 0.833
Pu 0.500 0.500 0.500
Pu 0.833 0.833 0.167
Np 0.500 0.500 0.000
As 0.000 0.000 0.249
As 0.000 0.000 0.751
As 0.334 0.334 0.415
As 0.334 0.334 0.918
As 0.666 0.666 0.082
As 0.666 0.666 0.585

Calculated values
SG = C2/m



# 11
Density functional theory data (PBE) for DyNp2ScAs4 after structural relaxation.

a b c (Å): 7.023 4.038 7.034
angles (deg): 90.00 109.32 90.00
Positions (direct):
Dy 0.000 0.000 0.000
Np 0.500 0.000 0.500
Np 0.500 0.500 0.000
Sc 0.000 0.500 0.500
As 0.242 0.000 0.740
As 0.247 0.500 0.256
As 0.753 0.500 0.744
As 0.758 0.000 0.260

Calculated values
SG = P2/m



# 12
Density functional theory data (PBE) for Sm2DyNpAs4 after structural relaxation.

a b c (Å): 7.202 4.156 7.209
angles (deg): 90.00 109.30 90.00
Positions (direct):
Sm 0.000 0.000 0.000
Sm 0.500 0.500 0.000
Dy 0.000 0.500 0.500
Np 0.500 0.000 0.500
As 0.250 0.000 0.742
As 0.254 0.500 0.258
As 0.746 0.500 0.742
As 0.750 0.000 0.258

Calculated values
SG = P2/m



# 13
Density functional theory data (PBE) for SmDy2NpAs4 after structural relaxation.

a b c (Å): 7.162 4.133 7.169
angles (deg): 90.00 109.33 90.00
Positions (direct):
Sm 0.000 0.000 0.000
Dy 0.500 0.000 0.500
Dy 0.500 0.500 0.000
Np 0.000 0.500 0.500
As 0.250 0.000 0.746
As 0.252 0.500 0.256
As 0.748 0.500 0.744
As 0.750 0.000 0.254

Calculated values
SG = P2/m



# 14
Density functional theory data (PBE) for Sr2DyNpAs4 after structural relaxation.

a b c (Å): 7.321 4.271 7.517
angles (deg): 90.00 108.94 90.00
Positions (direct):
Sr 0.000 0.000 0.000
Sr 0.500 0.500 0.000
Dy 0.000 0.500 0.500
Np 0.500 0.000 0.500
As 0.250 0.000 0.717
As 0.269 0.500 0.285
As 0.731 0.500 0.715
As 0.750 0.000 0.283

Calculated values
SG = P2/m



# 15
Density functional theory data (PBE) for Tb2DyNpAs4 after structural relaxation.

a b c (Å): 7.139 4.118 7.141
angles (deg): 90.00 109.31 90.00
Positions (direct):
Tb 0.000 0.000 0.000
Tb 0.500 0.500 0.000
Dy 0.000 0.500 0.500
Np 0.500 0.000 0.500
As 0.251 0.000 0.747
As 0.252 0.500 0.253
As 0.748 0.500 0.747
As 0.749 0.000 0.253

Calculated values
SG = P2/m



# 16
Density functional theory data (PBE) for Dy2ThNpAs4 after structural relaxation.

a b c (Å): 7.195 4.156 7.198
angles (deg): 90.00 109.49 90.00
Positions (direct):
Dy 0.000 0.000 0.000
Dy 0.500 0.500 0.000
Th 0.000 0.500 0.500
Np 0.500 0.000 0.500
As 0.254 0.500 0.248
As 0.256 0.000 0.755
As 0.744 0.000 0.245
As 0.746 0.500 0.752

Calculated values
SG = P2/m



# 17
Density functional theory data (PBE) for DyTm2NpAs4 after structural relaxation.

a b c (Å): 7.072 4.081 7.078
angles (deg): 90.00 109.33 90.00
Positions (direct):
Dy 0.000 0.000 0.000
Tm 0.500 0.000 0.500
Tm 0.500 0.500 0.000
Np 0.000 0.500 0.500
As 0.252 0.000 0.750
As 0.252 0.500 0.253
As 0.748 0.000 0.250
As 0.748 0.500 0.747

Calculated values
SG = P2/m



# 18
Density functional theory data (PBE) for DyTmNp2As4 after structural relaxation.

a b c (Å): 7.101 4.077 7.105
angles (deg): 90.00 109.30 90.00
Positions (direct):
Dy 0.000 0.000 0.000
Tm 0.000 0.500 0.500
Np 0.500 0.000 0.500
Np 0.500 0.500 0.000
As 0.249 0.000 0.748
As 0.251 0.500 0.252
As 0.749 0.500 0.748
As 0.751 0.000 0.252

Calculated values
SG = P2/m



# 19
Density functional theory data (PBE) for DyNpU2As4 after structural relaxation.

a b c (Å): 7.041 4.047 7.196
angles (deg): 90.00 108.85 90.00
Positions (direct):
Dy 0.000 0.000 0.000
Np 0.500 0.500 0.000
U 0.000 0.500 0.500
U 0.500 0.000 0.500
As 0.249 0.000 0.749
As 0.251 0.500 0.252
As 0.749 0.500 0.748
As 0.751 0.000 0.251

Calculated values
SG = P2/m



# 20
Density functional theory data (PBE) for DyY2NpAs4 after structural relaxation.

a b c (Å): 7.128 4.112 7.129
angles (deg): 90.00 109.33 90.00
Positions (direct):
Dy 0.000 0.000 0.000
Y 0.500 0.000 0.500
Y 0.500 0.500 0.000
Np 0.000 0.500 0.500
As 0.247 0.500 0.252
As 0.248 0.000 0.748
As 0.752 0.000 0.252
As 0.753 0.500 0.748

Calculated values
SG = P2/m



# 21
Density functional theory data (PBE) for Dy2YNpAs4 after structural relaxation.

a b c (Å): 7.125 4.110 7.126
angles (deg): 90.00 109.31 90.00
Positions (direct):
Dy 0.000 0.000 0.000
Dy 0.500 0.500 0.000
Y 0.000 0.500 0.500
Np 0.500 0.000 0.500
As 0.252 0.000 0.749
As 0.252 0.500 0.251
As 0.748 0.000 0.251
As 0.748 0.500 0.749

Calculated values
SG = P2/m



# 22
Density functional theory data (PBE) for DyAsO3 after structural relaxation.

a b c (Å): 4.484 4.484 4.484
angles (deg): 86.18 86.18 86.18
Positions (direct):
Dy 0.000 0.000 0.000
As 0.353 0.353 0.353
O 0.086 0.086 0.513
O 0.086 0.513 0.086
O 0.513 0.086 0.086

Calculated values
ΔE_f (raw) = -234 kJ/mol of atoms
SG = R3m



# 23
Density functional theory data (PBE) for Dy3AsO3 after structural relaxation.

a b c (Å): 7.892 7.892 7.892
angles (deg): 49.68 49.68 49.68
Positions (direct):
Dy 0.042 0.758 0.407
Dy 0.242 0.593 0.958
Dy 0.407 0.042 0.758
Dy 0.593 0.958 0.242
Dy 0.758 0.407 0.042
Dy 0.958 0.242 0.593
As 0.167 0.167 0.167
As 0.833 0.833 0.833
O 0.071 0.366 0.690
O 0.310 0.929 0.634
O 0.366 0.690 0.071
O 0.634 0.310 0.929
O 0.690 0.071 0.366
O 0.929 0.634 0.310

Calculated values
ΔE_f (raw) = -277 kJ/mol of atoms
SG = R-3



# 24
Density functional theory data (PBE) for DyAsO2 after structural relaxation.

a b c (Å): 6.756 6.756 6.756
angles (deg): 29.82 29.82 29.82
Positions (direct):
Dy 0.000 0.000 0.000
As 0.500 0.500 0.500
O 0.113 0.113 0.113
O 0.887 0.887 0.887

Calculated values
ΔE_f (raw) = -107 kJ/mol of atoms
SG = R-3m



Total DFT energy (no corrections) per entry: -43.56; -55.86; -68.21; -55.96; -62.44; -62.37; -56.03; -73.10; -71.01; -106.43; -63.65; -56.06; -55.94; -48.17; -55.94; -58.48; -55.46; -62.11; -65.94; -59.67; -57.77; -36.23; -106.90; -23.60 eV/cell
Calculated density per entry: 8.87; 8.65; 8.51; 8.31; 8.96; 8.81; 7.74; 9.94; 9.96; 9.72; 8.65; 8.15; 8.39; 6.53; 8.53; 8.95; 8.93; 9.45; 10.06; 7.39; 8.02; 5.29; 7.71; 6.62 g/cm³